(1)
# TmSbIr PBE relaxed
# **Total magnetization**: 0.00 μB per cell
# **Fermi-level density of states**: 4.5 states/eV/cell
# **Raw formation energy**: -0.8780 eV per atom
data_TmSbIr
_symmetry_space_group_name_H-M 'P n m a'
_symmetry_Int_Tables_number 62
_cell_length_a 7.112
_cell_length_b 4.472
_cell_length_c 7.928
_cell_angle_alpha 90.00
_cell_angle_beta 90.00
_cell_angle_gamma 90.00
loop_
_symmetry_equiv_pos_as_xyz
'x,y,z'
'-x,-y,-z'
'-x+1/2,-y,z+1/2'
'x+1/2,y,-z+1/2'
'x+1/2,-y+1/2,-z+1/2'
'-x+1/2,y+1/2,z+1/2'
'-x,y+1/2,-z'
'x,-y+1/2,z'
loop_
_atom_site_label
_atom_site_type_symbol
_atom_site_fract_x
_atom_site_fract_y
_atom_site_fract_z
Tm1 Tm 0.010 0.250 0.191
Sb1 Sb 0.177 0.250 0.589
Ir1 Ir 0.212 0.750 0.411

=====

(2)
# Ac3GeP PBE relaxed
# **Total magnetization**: 0.00 μB per cell
# **Energy of formation**: -2.245 eV/f.u.
# **Fermi-level density of states**: 3.4 states/eV/cell
data_Ac3GeP
_symmetry_space_group_name_H-M 'P m -3 m'
_symmetry_Int_Tables_number 221
_symmetry_space_group_name_Hall '-P 4 2 3'
_cell_length_a 5.768
_cell_length_b 5.768
_cell_length_c 5.768
_cell_angle_alpha 90.00
_cell_angle_beta 90.00
_cell_angle_gamma 90.00
loop_
_atom_site_label
_atom_site_type_symbol
_atom_site_fract_x
_atom_site_fract_y
_atom_site_fract_z
Ac1 Ac 0.000 0.000 0.500
Ge1 Ge 0.500 0.500 0.500
P1 P 0.000 0.000 0.000

=====

(3)
# La2Dy5Er12 PBE relaxed
# **Total magnetization**: 0.00 μB per cell
# **Energy of formation**: 2.639 eV/f.u.
# **Fermi-level density of states**: 54.4 states/eV/cell
# **Polymorph energy (0 for the lowest one)**: 22 meV/atom
data_La2Dy5Er12
_symmetry_space_group_name_H-M 'C 1 2/m 1'
_symmetry_Int_Tables_number 12
_cell_length_a 15.750
_cell_length_b 9.202
_cell_length_c 8.477
_cell_angle_alpha 90.00
_cell_angle_beta 91.18
_cell_angle_gamma 90.00
loop_
_symmetry_equiv_pos_as_xyz
'x,y,z'
'-x,-y,-z'
'-x,y,-z'
'x,-y,z'
'x+1/2,y+1/2,z'
'-x+1/2,-y+1/2,-z'
'-x+1/2,y+1/2,-z'
'x+1/2,-y+1/2,z'
loop_
_atom_site_label
_atom_site_type_symbol
_atom_site_fract_x
_atom_site_fract_y
_atom_site_fract_z
La1 La 0.000 0.190 0.000
Dy1 Dy 0.000 0.500 0.500
Dy2 Dy 0.197 0.000 0.007
Dy3 Dy 0.233 0.500 0.578
Er1 Er 0.057 0.000 0.327
Er2 Er 0.095 0.500 0.883
Er3 Er 0.126 0.191 0.648
Er4 Er 0.158 0.320 0.247

=====

(4)
# BaPCl PBE relaxed
# **Total magnetization**: 0.00 μB per cell
# **Fermi-level density of states**: 0.0 states/eV/cell
# **Raw formation energy**: -0.9127 eV per atom
# **Polymorph energy (0 for the lowest one)**: 564 meV/atom
data_BaPCl
_symmetry_space_group_name_H-M 'I 4 m m'
_symmetry_Int_Tables_number 107
_symmetry_space_group_name_Hall 'I 4 -2'
_cell_length_a 4.484
_cell_length_b 4.484
_cell_length_c 10.199
_cell_angle_alpha 90.00
_cell_angle_beta 90.00
_cell_angle_gamma 90.00
loop_
_atom_site_label
_atom_site_type_symbol
_atom_site_fract_x
_atom_site_fract_y
_atom_site_fract_z
Ba1 Ba 0.000 0.000 0.000
P1 P 0.000 0.000 0.435
Cl1 Cl 0.000 0.000 0.656

=====

(5)
# AlTl3Br6 PBE relaxed
# **Total magnetization**: 0.00 μB per cell
# **Fermi-level density of states**: 0.0 states/eV/cell
# **Raw formation energy**: -0.9354 eV per atom
# **Polymorph energy (0 for the lowest one)**: 49 meV/atom
data_AlTl3Br6
_symmetry_space_group_name_H-M 'P 1 21/c 1'
_symmetry_Int_Tables_number 14
_cell_length_a 7.534
_cell_length_b 8.342
_cell_length_c 13.069
_cell_angle_alpha 90.00
_cell_angle_beta 122.50
_cell_angle_gamma 90.00
loop_
_symmetry_equiv_pos_as_xyz
'x,y,z'
'-x,-y,-z'
'-x,y+1/2,-z+1/2'
'x,-y+1/2,z+1/2'
loop_
_atom_site_label
_atom_site_type_symbol
_atom_site_fract_x
_atom_site_fract_y
_atom_site_fract_z
Al1 Al 0.000 0.000 0.000
Tl1 Tl 0.292 0.073 0.761
Tl2 Tl 0.500 0.000 0.500
Br1 Br 0.106 0.051 0.217
Br2 Br 0.222 0.745 0.067
Br3 Br 0.315 0.161 0.035

=====

(6)
# KIn3Pd2 PBE relaxed
# **Total magnetization**: 0.00 μB per cell
# **Energy of formation**: -2.210 eV/f.u.
# **Fermi-level density of states**: 10.6 states/eV/cell
data_KIn3Pd2
_symmetry_space_group_name_H-M 'C m c m'
_symmetry_Int_Tables_number 63
_symmetry_space_group_name_Hall '-C 2c 2'
_cell_length_a 11.526
_cell_length_b 8.759
_cell_length_c 5.920
_cell_angle_alpha 90.00
_cell_angle_beta 90.00
_cell_angle_gamma 90.00
loop_
_atom_site_label
_atom_site_type_symbol
_atom_site_fract_x
_atom_site_fract_y
_atom_site_fract_z
K1 K 0.000 0.140 0.250
In1 In 0.000 0.450 0.750
In2 In 0.196 0.223 0.750
Pd1 Pd 0.202 0.500 0.000

=====

(7)
# Li3SnH PBE relaxed
# **Total magnetization**: 0.00 μB per cell
# **Fermi-level density of states**: 1.3 states/eV/cell
# **Polymorph energy (0 for the lowest one)**: 0 meV/atom
data_Li3SnH
_symmetry_space_group_name_H-M 'P m -3 m'
_symmetry_Int_Tables_number 221
_symmetry_space_group_name_Hall '-P 4 2 3'
_cell_length_a 4.142
_cell_length_b 4.142
_cell_length_c 4.142
_cell_angle_alpha 90.00
_cell_angle_beta 90.00
_cell_angle_gamma 90.00
loop_
_atom_site_label
_atom_site_type_symbol
_atom_site_fract_x
_atom_site_fract_y
_atom_site_fract_z
Li1 Li 0.000 0.000 0.500
Sn1 Sn 0.500 0.500 0.500
H1 H 0.000 0.000 0.000

=====

(8)
# K8Tl2Ag PBE relaxed
# **Total magnetization**: 0.00 μB per cell
# **Energy of formation**: 0.143 eV/f.u.
# **Fermi-level density of states**: 16.3 states/eV/cell
data_K8Tl2Ag
_symmetry_space_group_name_H-M 'I m m m'
_symmetry_Int_Tables_number 71
_symmetry_space_group_name_Hall '-I 2 2'
_cell_length_a 6.437
_cell_length_b 8.481
_cell_length_c 19.553
_cell_angle_alpha 90.00
_cell_angle_beta 90.00
_cell_angle_gamma 90.00
loop_
_atom_site_label
_atom_site_type_symbol
_atom_site_fract_x
_atom_site_fract_y
_atom_site_fract_z
K1 K 0.000 0.000 0.191
K2 K 0.000 0.238 0.363
K3 K 0.000 0.261 0.000
Tl1 Tl 0.000 0.500 0.187
Ag1 Ag 0.000 0.500 0.500

=====

(9)
# TlIn3Hg3 PBE relaxed
# **Total magnetization**: 0.00 μB per cell
# **Energy of formation**: 0.137 eV/f.u.
# **Fermi-level density of states**: 6.5 states/eV/cell
# **Polymorph energy (0 for the lowest one)**: 0 meV/atom
data_TlIn3Hg3
_symmetry_space_group_name_H-M 'P 63/m'
_symmetry_Int_Tables_number 176
_symmetry_space_group_name_Hall '-P 6c'
_cell_length_a 9.2440
_cell_length_b 9.2440
_cell_length_c 5.2003
_cell_angle_alpha 90.00
_cell_angle_beta 90.00
_cell_angle_gamma 120.00
loop_
_atom_site_label
_atom_site_type_symbol
_atom_site_fract_x
_atom_site_fract_y
_atom_site_fract_z
Tl1 Tl 0.3333 0.6667 0.2500
In1 In 0.0045 0.7780 0.7500
Hg1 Hg 0.0866 0.4730 0.7500

=====

(10)
# PuScCuRu PBE relaxed
# **Total magnetization**: 21.75 μB per cell
# **Energy of formation**: -0.707 eV/f.u.
# **Fermi-level density of states**: 36.9 states/eV/cell
data_PuScCuRu
_symmetry_space_group_name_H-M 'F -4 3 m'
_symmetry_Int_Tables_number 216
_symmetry_space_group_name_Hall 'F -4 2 3'
_cell_length_a 6.667
_cell_length_b 6.667
_cell_length_c 6.667
_cell_angle_alpha 90.00
_cell_angle_beta 90.00
_cell_angle_gamma 90.00
loop_
_atom_site_label
_atom_site_type_symbol
_atom_site_fract_x
_atom_site_fract_y
_atom_site_fract_z
Pu1 Pu 0.000 0.000 0.000
Sc1 Sc 0.000 0.000 0.500
Cu1 Cu 0.250 0.250 0.750
Ru1 Ru 0.250 0.250 0.250